[1]
Ac8PRh3Br4 after structural relaxation. Source: the Alexandria database, functional PBE.

extended XYZ file:
```
16
Lattice="-5.402 3.668 5.910 -6.319 -7.154 -1.335 8.196 -2.242 2.321" Properties=species:S:1:pos:R:3 pbc="T T T"
Ac 2.184 -6.258 2.697
Ac -1.791 -5.170 1.572
Ac 1.022 -2.397 2.421
Ac -0.437 -4.479 5.564
Ac -3.089 -1.250 1.331
Ac -4.547 -3.332 4.474
Ac -1.734 -0.558 5.324
Ac -5.710 0.530 4.198
P -3.160 -3.577 -0.668
Rh -5.861 -1.743 2.287
Rh -1.763 -2.864 3.448
Rh 0.938 -4.698 0.493
Br -2.701 1.834 2.955
Br 1.397 0.713 4.115
Br 0.000 0.000 0.000
Br 4.098 -1.121 1.160
```

ΔE_f (raw): -1177.9 meV per atom
magnetization: 0.00 μB/atom
E: -0.3945 Ry per atom


[2]
BaZr2In after structural relaxation. Source: the Alexandria database, functional PBE.

extended XYZ file:
```
4
Lattice="5.953 -0.009 -0.012 5.052 3.149 -0.012 1.080 0.308 5.984" Properties=species:S:1:pos:R:3 pbc="T T T"
Ba 9.064 2.586 4.470
In 3.021 0.862 1.490
Zr 10.788 3.078 0.278
Zr 6.261 1.786 2.678
```

magnetization: 0.00 μB/atom
formation energy from the elements: 0.8 eV/f.u.
E: -0.3846 Ry per atom


[3]
TbPa4P5 after structural relaxation. Source: the Alexandria database, functional PBE.

extended XYZ file:
```
10
Lattice="5.062 0.000 2.442 2.531 6.286 1.221 -0.200 0.000 6.883" Properties=species:S:1:pos:R:3 pbc="T T T"
Tb 0.006 0.000 0.003
Pa 2.877 2.516 6.984
Pa 5.960 5.041 7.060
Pa 1.443 1.245 3.490
Pa 4.526 3.770 3.566
P 5.416 2.524 8.189
P 3.433 5.023 5.833
P 3.970 1.264 4.717
P 1.987 3.762 2.361
P 2.537 0.000 1.224
```

magnetization: 0.00 μB/atom
formation energy from the elements: -13.8 eV/f.u.
E: -0.6134 Ry per atom


[4]
TaRu4Se after structural relaxation. Source: the Alexandria database, functional PBE.

extended XYZ file:
```
6
Lattice="0.000 3.630 3.630 3.630 0.000 3.630 3.630 3.630 0.000" Properties=species:S:1:pos:R:3 pbc="T T T"
Ta 0.000 0.000 0.000
Ru 2.721 4.539 4.539
Ru 4.539 4.539 2.721
Ru 4.539 2.721 4.539
Ru 2.721 2.721 2.721
Se 5.445 5.445 5.445
```

ΔE_f (raw): 472.6 meV per atom
magnetization: 0.00 μB/atom
E: -0.6077 Ry per atom


[5]
ErBRh6 after structural relaxation. Source: the Alexandria database, functional PBE.

extended XYZ file:
```
8
Lattice="5.570 0.000 0.000 2.785 4.824 0.000 2.785 1.608 4.743" Properties=species:S:1:pos:R:3 pbc="T T T"
Er 5.570 3.216 2.372
B 0.000 0.000 0.000
Rh 9.659 5.577 3.618
Rh 7.052 5.577 3.618
Rh 2.785 3.113 1.125
Rh 4.089 0.855 1.125
Rh 1.482 0.855 1.125
Rh 8.355 3.319 3.618
```

magnetization: 0.00 μB/atom
formation energy from the elements: -1.7 eV/f.u.
E: -0.5244 Ry per atom


[6]
LiSnBi2 after structural relaxation. Source: the Alexandria database, functional PBE.

extended XYZ file:
```
4
Lattice="-0.929 3.641 -1.567 -3.534 0.536 -1.948 -5.658 3.880 7.078" Properties=species:S:1:pos:R:3 pbc="T T T"
Li 0.000 0.000 0.000
Bi -4.443 3.155 4.674
Bi -5.678 4.902 -1.111
Sn -5.060 4.028 1.781
```

magnetization: 0.00 μB/atom
formation energy from the elements: 0.6 eV/f.u.
E: -0.2411 Ry per atom


[7]
Na2LaAl9 after structural relaxation. Source: the Alexandria database, functional PBE.

extended XYZ file:
```
12
Lattice="5.427 0.000 1.615 2.473 4.830 1.615 0.134 0.082 9.475" Properties=species:S:1:pos:R:3 pbc="T T T"
Na 6.823 4.172 6.847
Na 1.210 0.740 5.858
La 0.000 0.000 0.000
Al 5.256 3.214 2.187
Al 2.777 1.698 10.518
Al 4.017 2.456 6.352
Al 3.310 2.024 3.681
Al 6.069 2.024 4.502
Al 4.567 4.480 4.502
Al 4.724 2.888 9.024
Al 3.466 0.432 8.203
Al 1.964 2.888 8.203
```

magnetization: 0.00 μB/atom
formation energy from the elements: -1.3 eV/f.u.
E: -0.2607 Ry per atom


[8]
Sm3In5S12 after structural relaxation. Source: the Alexandria database, functional PBE.

extended XYZ file:
```
80
Lattice="13.702 0.000 0.000 -4.567 12.918 0.000 -4.567 -6.459 11.187" Properties=species:S:1:pos:R:3 pbc="T T T"
Sm 7.993 4.037 1.398
Sm 7.993 8.881 1.398
Sm -1.142 5.652 6.992
Sm 1.142 -0.807 4.195
Sm 10.276 0.000 2.797
Sm 1.142 6.459 2.797
Sm 3.425 0.000 8.390
Sm -5.709 6.459 8.390
Sm 3.425 7.266 6.992
Sm 5.709 0.807 4.195
Sm -3.425 -2.422 9.789
Sm -3.425 2.422 9.789
In -1.142 3.229 2.797
In -2.284 6.459 0.000
In 0.000 0.000 0.000
In 3.425 2.422 1.398
In 4.567 -3.229 5.594
In 4.567 6.459 0.000
In -3.425 7.266 4.195
In 5.709 -4.037 9.789
In 5.709 5.652 4.195
In 1.142 -3.229 8.390
In 3.425 9.688 2.797
In 2.284 3.229 5.594
In 6.851 0.000 0.000
In -2.284 -3.229 5.594
In -1.142 0.807 6.992
In -1.142 10.496 1.398
In -4.567 3.229 5.594
In 7.993 -0.807 6.992
In 1.142 4.037 9.789
In 5.709 3.229 8.390
S 9.025 1.403 0.469
S 0.109 4.337 4.613
S 10.138 2.950 3.179
S 5.847 1.951 1.450
S 1.685 4.894 7.539
S 9.649 6.468 1.946
S -1.003 7.457 4.629
S -3.564 10.967 1.450
S 0.598 8.024 7.539
S 6.336 6.450 1.946
S 6.960 3.525 4.144
S 6.960 11.515 0.469
S -3.969 5.747 6.062
S 2.798 4.769 0.965
S -4.677 9.393 4.144
S 2.393 -2.122 6.574
S -0.598 0.853 2.415
S 2.798 8.140 0.981
S 5.847 9.968 3.179
S -0.515 4.778 0.981
S -2.882 7.312 8.773
S 3.287 5.460 4.629
S 6.253 7.171 6.062
S 5.082 -1.690 10.222
S 1.280 0.998 6.559
S -1.685 -0.712 5.125
S -0.515 8.149 0.965
S -1.280 -3.509 8.008
S 7.449 -0.853 2.415
S 5.082 1.681 10.206
S 1.769 -1.681 10.206
S 2.174 8.581 4.613
S 5.165 5.606 8.773
S 9.244 -2.934 7.043
S 8.536 0.712 5.125
S -2.393 -5.056 10.718
S 1.769 1.690 10.222
S 3.969 -1.565 3.648
S -1.769 0.009 9.241
S -2.393 2.934 7.043
S 8.131 -4.508 9.738
S 5.571 -0.998 6.559
S -1.280 4.508 9.738
S -5.082 -0.009 9.241
S 2.882 1.565 3.648
S -5.571 3.509 8.008
S 4.458 2.122 6.574
S -4.458 5.056 10.718
```

ΔE_f (raw): -1098.7 meV per atom
magnetization: 0.00 μB/atom
E: -0.3651 Ry per atom


[9]
PmPb2S4 after structural relaxation. Source: the Alexandria database, functional PBE.

extended XYZ file:
```
14
Lattice="3.992 0.000 0.000 -1.996 6.857 0.000 0.000 0.000 13.339" Properties=species:S:1:pos:R:3 pbc="T T T"
Pm 1.996 1.518 10.004
Pm 0.000 5.340 3.335
Pb 0.000 1.818 5.793
Pb 1.996 5.039 12.463
Pb 0.000 1.818 0.876
Pb 1.996 5.039 7.546
S 1.996 3.940 1.765
S 1.996 3.940 4.905
S 0.000 2.917 11.574
S 0.000 2.917 8.435
S 1.996 6.400 10.004
S 0.000 0.457 3.335
S 1.996 0.000 0.000
S 1.996 0.000 6.670
```

ΔE_f (raw): -917.8 meV per atom
magnetization: 0.00 μB/atom
E: -0.3686 Ry per atom


[10]
AlZn5Ni6 after structural relaxation. Source: the Alexandria database, functional PBE.

extended XYZ file:
```
12
Lattice="-2.038 -1.672 -3.363 0.998 -4.974 1.868 -7.038 -1.219 0.512" Properties=species:S:1:pos:R:3 pbc="T T T"
Ni -3.267 -5.528 -1.223
Ni -3.768 -3.030 -2.161
Ni -7.811 -3.283 -0.708
Ni -0.268 -4.582 -0.274
Ni -4.311 -4.835 1.179
Ni -4.812 -2.338 0.241
Zn -5.556 -4.420 -0.980
Zn -3.034 -0.957 -0.928
Zn 0.499 -2.487 0.934
Zn -5.045 -6.908 -0.054
Zn -2.523 -3.445 -0.002
Al 0.000 0.000 0.000
```

magnetization: 0.00 μB/atom
formation energy from the elements: -3.8 eV/f.u.
E: -0.2976 Ry per atom


[11]
Sm3Dy6Y2Sc after structural relaxation. Source: the Alexandria database, functional PBE.

extended XYZ file:
```
12
Lattice="-3.227 -3.392 -3.980 -0.874 -0.695 6.042 -6.859 9.488 -0.943" Properties=species:S:1:pos:R:3 pbc="T T T"
Sm -4.695 3.600 3.903
Sm -6.265 1.801 -2.783
Sm -5.480 2.701 0.560
Dy -8.651 3.632 -0.812
Dy -4.768 -0.736 1.317
Dy -2.308 1.770 1.931
Dy -7.875 4.522 2.497
Dy -6.191 6.137 -0.198
Dy -3.085 0.879 -1.378
Y -1.659 -1.594 2.699
Y -2.442 -2.492 -0.637
Sc 0.000 0.000 0.000
```

magnetization: 0.00 μB/atom
formation energy from the elements: 0.3 eV/f.u.
E: -0.3717 Ry per atom


[12]
Tb2In6Ni after structural relaxation. Source: the Alexandria database, functional PBE.

extended XYZ file:
```
9
Lattice="4.622 0.000 -0.880 0.000 3.836 0.000 0.021 0.000 12.684" Properties=species:S:1:pos:R:3 pbc="T T T"
Tb 1.527 0.000 8.016
Tb 4.623 0.000 11.699
In 3.284 0.000 4.666
In 1.042 1.918 5.472
In 0.498 1.918 2.614
In 2.703 0.000 1.620
In 2.125 1.918 11.156
In 4.105 1.918 8.979
Ni 3.630 1.918 6.485
```

magnetization: 0.00 μB/atom
formation energy from the elements: -2.2 eV/f.u.
E: -0.2747 Ry per atom


[13]
TaAlFe2Se after structural relaxation. Source: the Alexandria database, functional PBE.

extended XYZ file:
```
5
Lattice="4.248 0.000 0.000 0.000 4.843 0.000 0.000 0.000 4.248" Properties=species:S:1:pos:R:3 pbc="T T T"
Al 0.000 2.422 0.000
Fe 0.000 0.000 2.124
Fe 2.124 0.000 0.000
Se 0.000 0.000 0.000
Ta 2.124 2.422 2.124
```

ΔE_f (raw): 933.7 meV per atom
magnetization: 0.68 μB/atom
E: -0.4606 Ry per atom


[14]
NbAlH after structural relaxation. Source: the Alexandria database, functional PBE.

extended XYZ file:
```
12
Lattice="4.790 0.813 0.000 -0.986 5.125 0.000 0.000 0.000 5.725" Properties=species:S:1:pos:R:3 pbc="T T T"
H 2.169 1.405 0.700
H 2.128 1.970 3.562
H 1.635 4.533 5.025
H 1.676 3.968 2.163
Nb 0.224 4.860 0.671
Nb 3.086 3.641 3.533
Nb 3.579 1.078 5.054
Nb 0.717 2.297 2.192
Al 3.068 3.623 0.672
Al 0.243 4.878 3.534
Al 0.736 2.315 5.054
Al 3.561 1.060 2.191
```

offset from the most stable computed form: 122 meV per atom
magnetization: 0.00 μB/atom
E: -0.4292 Ry per atom


[15]
ZnPd15Pb4 after structural relaxation. Source: the Alexandria database, functional PBE.

extended XYZ file:
```
20
Lattice="-2.851 1.230 2.647 -0.442 -3.839 1.308 14.335 3.113 13.990" Properties=species:S:1:pos:R:3 pbc="T T T"
Zn 0.000 0.000 0.000
Pd -1.646 -1.305 1.977
Pd 1.144 -0.699 4.700
Pd 4.060 -0.065 7.547
Pd 6.982 0.569 10.398
Pd 9.898 1.203 13.244
Pd -0.120 0.898 2.597
Pd 2.813 1.535 5.459
Pd 5.742 2.172 8.318
Pd 8.672 2.808 11.177
Pd 11.605 3.445 14.040
Pd 1.084 -1.636 1.927
Pd 4.017 -0.999 4.790
Pd 6.946 -0.363 7.649
Pd 9.876 0.273 10.508
Pd 12.809 0.910 13.370
Pb 2.753 0.598 2.686
Pb 5.696 1.237 5.559
Pb 8.639 1.876 8.430
Pb 11.582 2.516 11.303
```

magnetization: 0.00 μB/atom
formation energy from the elements: -5.6 eV/f.u.
E: -0.3662 Ry per atom


[16]
LaNd4In after structural relaxation. Source: the Alexandria database, functional PBE.

extended XYZ file:
```
12
Lattice="6.444 -0.493 -0.723 -1.607 8.678 -0.127 -1.607 -3.291 8.031" Properties=species:S:1:pos:R:3 pbc="T T T"
La 0.759 4.369 6.410
La 2.472 0.526 0.771
Nd 3.110 2.346 3.442
Nd 1.616 -0.468 5.577
Nd 3.799 2.390 6.741
Nd -0.567 -0.506 2.492
Nd 0.121 2.549 3.739
Nd 1.616 5.362 1.604
Nd -0.567 2.505 0.440
Nd 3.799 5.401 4.689
In -1.607 0.404 5.513
In -1.607 4.983 2.392
```

offset from the most stable computed form: 178 meV per atom
magnetization: 0.00 μB/atom
formation energy from the elements: 0.1 eV/f.u.
E: -0.3258 Ry per atom


[17]
CoNiP2 after structural relaxation. Source: the Alexandria database, functional PBE.

extended XYZ file:
```
4
Lattice="4.207 0.000 0.000 0.000 3.395 -0.012 0.000 1.696 3.699" Properties=species:S:1:pos:R:3 pbc="T T T"
Co 0.000 2.330 2.065
Ni 2.104 4.033 2.545
P 0.000 4.034 3.453
P 2.104 2.329 1.156
```

offset from the most stable computed form: 0 meV per atom
magnetization: 0.00 μB/atom
formation energy from the elements: -1.4 eV/f.u.
E: -0.4609 Ry per atom


[18]
SrAgOs after structural relaxation. Source: the Alexandria database, functional PBE.

extended XYZ file:
```
3
Lattice="4.917 0.000 0.000 2.458 4.258 0.000 2.458 1.419 4.014" Properties=species:S:1:pos:R:3 pbc="T T T"
Ag 0.000 0.000 0.000
Os 4.917 2.839 2.007
Sr 2.458 1.419 1.004
```

offset from the most stable computed form: 968 meV per atom
magnetization: 0.55 μB/atom
formation energy from the elements: 5.1 eV/f.u.
E: -0.2622 Ry per atom


[19]
PmTm2P after structural relaxation. Source: the Alexandria database, functional PBE.

extended XYZ file:
```
4
Lattice="-0.972 -3.363 1.148 0.788 -1.073 3.435 -9.040 2.212 4.739" Properties=species:S:1:pos:R:3 pbc="T T T"
P -4.612 -1.112 4.661
Tm -5.970 0.950 3.641
Tm -3.254 -3.174 5.681
Pm 0.000 0.000 0.000
```

magnetization: 0.00 μB/atom
formation energy from the elements: -2.1 eV/f.u.
E: -0.3891 Ry per atom


[20]
ReTc2Hg after structural relaxation. Source: the Alexandria database, functional PBE.

extended XYZ file:
```
4
Lattice="-0.440 -2.036 3.363 2.552 -1.198 -0.391 5.034 3.127 2.553" Properties=species:S:1:pos:R:3 pbc="T T T"
Hg 1.676 -0.536 2.222
Re 5.469 0.429 3.303
Tc 4.932 2.956 2.436
Tc 3.894 1.136 1.198
```

magnetization: 0.00 μB/atom
formation energy from the elements: 1.5 eV/f.u.
E: -0.5871 Ry per atom